# 1
Compound: Tb2Tm2Pb2N
Source: Alexandria
Functional: PBE
Structure: relaxed

Cell lengths 4.6827, 4.6827, 16.1409 Å; angles 90.00, 90.00, 90.00 degrees
Space group I4/mmm (No. 139)
One atom of each set of equivalent atoms:
Tb 0.0000 0.0000 0.1582 x4
Tm 0.0000 0.5000 0.0000 x4
Pb 0.0000 0.0000 0.3579 x4
N 0.0000 0.0000 0.0000 x2

Properties
As for the density of states at the Fermi level: 5.414 states/eV/f.u. The uncorrected formation energy comes out at -0.89 eV per atom.

***

# 2
Compound: Tc4Pb2N
Source: Alexandria
Functional: PBE
Structure: relaxed

Cell lengths 4.1000, 4.1000, 14.2752 Å; angles 90.00, 90.00, 90.00 degrees
Space group I4/mmm (No. 139)
One atom of each set of equivalent atoms:
Tc 0.0000 0.0000 0.1411 x4
Tc 0.0000 0.5000 0.0000 x4
Pb 0.0000 0.0000 0.3438 x4
N 0.0000 0.0000 0.0000 x2

Properties
As for the density of states at the Fermi level: 8.078 states/eV/f.u. The uncorrected formation energy comes out at 0.49 eV per atom.

***

# 3
Compound: TcTe2PbN
Source: Alexandria
Functional: PBE
Structure: relaxed

Cell lengths 5.6059, 5.6059, 3.7540 Å; angles 90.00, 90.00, 90.00 degrees
Space group P4/mmm (No. 123)
One atom of each set of equivalent atoms:
Tc 0.0000 0.0000 0.0000 x1
Te 0.0000 0.5000 0.0000 x2
Pb 0.5000 0.5000 0.5000 x1
N 0.0000 0.0000 0.5000 x1

Properties
As for the density of states at the Fermi level: 3.418 states/eV/f.u. For the excess energy over the best structure of this formula in the dataset, the calculation gives 0.0000 eV per atom. The uncorrected formation energy comes out at 0.14 eV per atom.

***

# 4
Compound: TcTePbN2
Source: Alexandria
Functional: PBE
Structure: relaxed

Cell lengths 4.0986, 4.0986, 5.8258 Å; angles 90.00, 90.00, 90.00 degrees
Space group P4/mmm (No. 123)
One atom of each set of equivalent atoms:
Tc 0.0000 0.0000 0.0000 x1
Te 0.0000 0.0000 0.5000 x1
Pb 0.5000 0.5000 0.5000 x1
N 0.0000 0.5000 0.0000 x2

Properties
As for the density of states at the Fermi level: 2.418 states/eV/f.u. For the excess energy over the best structure of this formula in the dataset, the calculation gives 0.0000 eV per atom. The uncorrected formation energy comes out at 0.74 eV per atom.

***

# 5
Compound: TcTe2PbN
Source: Alexandria
Functional: PBE
Structure: relaxed

Cell lengths 5.8960, 5.8960, 4.1983 Å; angles 90.00, 90.00, 90.00 degrees
Space group P4/mmm (No. 123)
One atom of each set of equivalent atoms:
Tc 0.0000 0.0000 0.0000 x1
Te 0.0000 0.5000 0.5000 x2
Pb 0.5000 0.5000 0.5000 x1
N 0.5000 0.5000 0.0000 x1

Properties
As for the density of states at the Fermi level: 5.089 states/eV/f.u. For the excess energy over the best structure of this formula in the dataset, the calculation gives 1.5383 eV per atom. The uncorrected formation energy comes out at 1.68 eV per atom.

***

# 6
Compound: TcTePbN2
Source: Alexandria
Functional: PBE
Structure: relaxed

Cell lengths 4.3831, 4.3831, 6.4019 Å; angles 90.00, 90.00, 90.00 degrees
Space group P4/mmm (No. 123)
One atom of each set of equivalent atoms:
Tc 0.0000 0.0000 0.0000 x1
Te 0.5000 0.5000 0.0000 x1
Pb 0.5000 0.5000 0.5000 x1
N 0.0000 0.5000 0.5000 x2

Properties
As for the density of states at the Fermi level: 2.763 states/eV/f.u. For the excess energy over the best structure of this formula in the dataset, the calculation gives 1.3541 eV per atom. The uncorrected formation energy comes out at 2.09 eV per atom.